First-principles (GGA+U) data for a geometry-optimized ZnCoIrO6 structure, as listed in the Alexandria database.

As for the crystal system: trigonal. The total energy comes out at -5.76 eV/atom.

The space group is P-31c (No. 163) and the conventional cell measures 4.9849, 4.9849 and 8.8272 Å, with angles of 90.00, 90.00 and 120.00 degrees. Symmetry generates all atoms from Zn at (0.0000, 0.0000, 0.0000), Co at (0.3333, 0.6667, 0.2500), Ir at (0.3333, 0.6667, 0.7500) and O at (0.0050, 0.3603, 0.1322).